# Fe2PbO | the Alexandria database | GGA+U | relaxed
# calculated density	6.83	g cm⁻³
# uncorrected energy	-5.220	eV per atom
data_Fe2PbO
_chemical_formula_sum 'Fe4 Pb2 O2'
_cell_length_a 6.089
_cell_length_b 6.089
_cell_length_c 6.089
_cell_angle_alpha 118.59
_cell_angle_beta 118.59
_cell_angle_gamma 92.46
_space_group_name_H-M_alt 'P 1'
_space_group_IT_number 1
loop_
_space_group_symop_operation_xyz
'x,y,z'
loop_
_atom_site_label
_atom_site_type_symbol
_atom_site_fract_x
_atom_site_fract_y
_atom_site_fract_z
Fe1 Fe 0.375 0.231 0.356
Fe2 Fe 0.769 0.125 0.144
Fe3 Fe 0.875 0.019 0.644
Fe4 Fe 0.981 0.625 0.856
Pb1 Pb 0.250 0.750 0.500
Pb2 Pb 0.500 0.500 0.000
O1 O 0.000 0.000 0.000
O2 O 0.750 0.250 0.500